# 1
Here is VHgN after structural relaxation from Alexandria via LeMat-Bulk. Energies are from PBE-GGA.

Lattice parameters (Å, degrees): 3.1679 3.1679 15.9722 90.00 90.00 120.00
Each line ends with the local moment (μB).
Positions (direct):
Hg: 0.6667 0.3333 0.6507  0.01
Hg: 0.3333 0.6667 0.9840  0.01
Hg: 0.0000 0.0000 0.3174  0.01
V: 0.0000 0.0000 0.8399  1.42
V: 0.3333 0.6667 0.5066  1.42
V: 0.6667 0.3333 0.1732  1.42
N: 0.3333 0.6667 0.1367  -0.12
N: 0.0000 0.0000 0.4700  -0.12
N: 0.6667 0.3333 0.8033  -0.12

## Properties
The energy relative to the lowest polymorph listed for this composition comes out at 0.046 eV/atom. Its total energy is -6.17 eV/atom. Its space group is R3m (160). The calculation puts the uncorrected formation energy at -0.257 eV/atom. The density is 9.53 g/cm³.

# 2
Here is ScIr2Br after structural relaxation from Alexandria via LeMat-Bulk. Energies are from PBE-GGA.

Lattice parameters (Å, degrees): 9.6938 9.6938 9.6938 18.50 18.50 18.50
Each line ends with the local moment (μB).
Positions (direct):
Br: 0.7706 0.7706 0.7706  0.00
Ir: 0.9803 0.9803 0.9803  0.72
Ir: 0.2436 0.2436 0.2436  0.32
Sc: 0.5055 0.5055 0.5055  0.01

## Properties
The energy relative to the lowest polymorph listed for this composition comes out at 0.427 eV/atom. Its total energy is -6.31 eV/atom. Its space group is R3m (160). The calculation puts the uncorrected formation energy at 0.126 eV/atom. The density is 10.56 g/cm³.

# 3
Here is V2TcPt after structural relaxation from Alexandria via LeMat-Bulk. Energies are from PBE-GGA.

Lattice parameters (Å, degrees): 6.7715 6.7715 5.4949 51.96 51.96 90.00
Positions (direct):
Tc: 0.2500 0.7500 0.5000
Tc: 0.5000 0.5000 0.0000
V: 0.6128 0.1250 0.2500
V: 0.3750 0.3872 0.7500
V: 0.1372 0.6250 0.2500
V: 0.8750 0.8628 0.7500
Pt: 0.7500 0.2500 0.5000
Pt: 0.0000 0.0000 0.0000

## Properties
Its total energy is -8.41 eV/atom. Its formation energy is 0.25 eV per atom. Its space group is I-42d (122). The density is 10.61 g/cm³.

# 4
Here is AcTb2Se after structural relaxation from Alexandria via LeMat-Bulk. Energies are from PBE-GGA.

Lattice parameters (Å, degrees): 3.8263 3.8263 10.9797 79.97 79.97 60.00
Positions (direct):
Tb: 0.8878 0.8878 0.3366
Tb: 0.1122 0.1122 0.6634
Se: 0.5000 0.5000 0.5000
Ac: 0.0000 0.0000 0.0000

## Properties
The energy relative to the lowest polymorph listed for this composition comes out at 0.176 eV/atom. Its total energy is -4.84 eV/atom. Its space group is R-3m (166). The calculation puts the uncorrected formation energy at -0.630 eV/atom. The density is 7.60 g/cm³.